Record 1
First-principles (PBE) data for SiSe5 after structural relaxation, as listed in Alexandria via LeMat-Bulk.

Geometry as extended XYZ:
```
6
Lattice="1.8613 -6.5066 0.0000 1.8613 6.5066 0.0000 0.0000 0.0000 5.3796" Properties=species:S:1:pos:R:3 pbc="T T T"
Si 0.0000 0.0000 0.0000
Se 0.0000 0.0000 2.6898
Se 1.8613 2.1359 2.6898
Se 1.8613 1.8283 0.0000
Se 1.8613 -1.8283 0.0000
Se 1.8613 -2.1359 2.6898
```

Values from the calculation:
As for the formation energy without anion corrections: 59 meV per atom. Its offset from the most stable computed form is 106 meV per atom. The space-group type is Cmmm, No. 65. The value obtained for the density of states at the Fermi level is 0.443 states/eV per atom.

***

Record 2
First-principles (PBE) data for RbZrNb2N after structural relaxation, as listed in Alexandria via LeMat-Bulk.

Geometry as extended XYZ:
```
5
Lattice="4.9431 0.0000 0.0000 0.0000 4.9431 0.0000 0.0000 0.0000 6.3458" Properties=species:S:1:pos:R:3 pbc="T T T"
Rb 0.0000 0.0000 0.0000
Zr 0.0000 0.0000 3.1729
Nb 0.0000 2.4715 3.1729
Nb 2.4715 0.0000 3.1729
N 2.4715 2.4715 0.0000
```

Values from the calculation:
As for the formation energy without anion corrections: 2698 meV per atom. The space-group type is P4/mmm, No. 123. The value obtained for the density of states at the Fermi level is 3.193 states/eV per atom.

***

What is the formula in the first record? SiSe5

***

Which of these has the highest formation energy without anion corrections? RbZrNb2N

***

What is the formula in the second record? RbZrNb2N

***

What is the formula in the first record? SiSe5